# 1
DFT (GGA-PBE) results for a relaxed PrGdErCd crystal.

a b c (Å): 5.522 5.522 5.522
angles (deg): 60.00 60.00 60.00
Site moments in Bohr magnetons follow the coordinates.
Positions (direct):
Er1 0.250 0.250 0.250  0.15
Gd1 0.500 0.500 0.500  7.21
Pr1 0.000 0.000 0.000  0.07
Cd1 0.750 0.750 0.750  -0.01

Calculated values
Total energy = -24.5 eV per cell
E_form = -0.049 eV per atom
Calculated volume = 29.77 Å³ per atom
Space-group type = F-43m

=====

# 2
DFT (GGA-PBE) results for a relaxed CaCdGa4 crystal.

a b c (Å): 4.136 8.320 15.747
angles (deg): 90.00 90.00 90.00
Positions (direct):
Ga1 0.500 0.505 0.800
Ga2 0.500 0.386 0.054
Ga3 0.500 0.366 0.470
Ga4 0.500 0.114 0.554
Ga5 0.500 0.495 0.200
Ga6 0.500 0.886 0.446
Ga7 0.500 0.634 0.530
Ga8 0.500 0.202 0.814
Ga9 0.500 0.995 0.300
Ga10 0.500 0.614 0.946
Ga11 0.500 0.005 0.700
Ga12 0.500 0.702 0.686
Ga13 0.500 0.798 0.186
Ga14 0.500 0.298 0.314
Ga15 0.500 0.134 0.970
Ga16 0.500 0.866 0.030
Cd1 0.000 0.860 0.588
Cd2 0.000 0.140 0.412
Cd3 0.000 0.640 0.088
Cd4 0.000 0.360 0.912
Ca1 0.000 0.371 0.647
Ca2 0.000 0.629 0.353
Ca3 0.000 0.871 0.853
Ca4 0.000 0.129 0.147

Calculated values
Total energy = -64.4 eV per cell
E_form = -0.178 eV per atom
Calculated volume = 22.58 Å³ per atom
Energy relative to the lowest polymorph listed for this composition = 0.0202 eV per atom
Space-group type = Pbam

=====

# 3
DFT (GGA-PBE) results for a relaxed Sn5Pb3Br12 crystal.

a b c (Å): 15.794 15.794 15.794
angles (deg): 109.47 109.47 109.47
Positions (direct):
Pb1 0.250 0.125 0.375
Pb2 0.625 0.375 0.750
Pb3 0.875 0.750 0.125
Pb4 0.625 0.250 0.375
Pb5 0.125 0.875 0.750
Pb6 0.750 0.875 0.625
Pb7 0.375 0.625 0.250
Pb8 0.750 0.375 0.125
Pb9 0.375 0.750 0.625
Pb10 0.875 0.125 0.250
Pb11 0.250 0.625 0.875
Pb12 0.125 0.250 0.875
Br1 0.431 0.049 0.327
Br2 0.049 0.431 0.827
Br3 0.278 0.396 0.827
Br4 0.673 0.222 0.604
Br5 0.173 0.104 0.722
Br6 0.222 0.673 0.104
Br7 0.222 0.549 0.618
Br8 0.104 0.173 0.222
Br9 0.382 0.951 0.778
Br10 0.896 0.827 0.778
Br11 0.069 0.896 0.118
Br12 0.951 0.569 0.173
Br13 0.049 0.618 0.722
Br14 0.778 0.451 0.382
Br15 0.604 0.722 0.673
Br16 0.618 0.049 0.222
Br17 0.549 0.222 0.118
Br18 0.778 0.327 0.896
Br19 0.722 0.118 0.049
Br20 0.451 0.673 0.069
Br21 0.951 0.382 0.278
Br22 0.931 0.827 0.549
Br23 0.673 0.451 0.569
Br24 0.327 0.549 0.431
Br25 0.827 0.931 0.049
Br26 0.931 0.104 0.882
Br27 0.104 0.931 0.382
Br28 0.827 0.896 0.278
Br29 0.118 0.396 0.069
Br30 0.882 0.278 0.451
Br31 0.396 0.118 0.569
Br32 0.431 0.382 0.604
Br33 0.549 0.327 0.931
Br34 0.618 0.569 0.896
Br35 0.173 0.069 0.951
Br36 0.118 0.722 0.549
Br37 0.278 0.882 0.951
Br38 0.382 0.431 0.104
Br39 0.896 0.069 0.618
Br40 0.569 0.618 0.396
Br41 0.327 0.778 0.396
Br42 0.604 0.882 0.431
Br43 0.451 0.778 0.882
Br44 0.069 0.173 0.451
Br45 0.882 0.604 0.931
Br46 0.722 0.604 0.173
Br47 0.396 0.278 0.327
Br48 0.569 0.951 0.673
Sn1 0.250 0.875 0.125
Sn2 0.000 0.500 0.500
Sn3 0.000 0.000 0.000
Sn4 0.750 0.125 0.875
Sn5 0.875 0.250 0.625
Sn6 0.625 0.875 0.250
Sn7 0.500 0.000 0.500
Sn8 0.250 0.375 0.625
Sn9 0.125 0.375 0.250
Sn10 0.000 0.500 0.000
Sn11 0.625 0.750 0.875
Sn12 0.500 0.500 0.000
Sn13 0.000 0.000 0.500
Sn14 0.500 0.500 0.500
Sn15 0.375 0.250 0.125
Sn16 0.500 0.000 0.000
Sn17 0.125 0.750 0.375
Sn18 0.875 0.625 0.750
Sn19 0.750 0.625 0.375
Sn20 0.375 0.125 0.750

Calculated values
Formation energy (no corrections) = -0.434 eV/atom
Total energy = -239.6 eV per cell
Calculated volume = 37.91 Å³ per atom
Space-group type = Ia-3d

=====

# 4
DFT (GGA-PBE) results for a relaxed Ag4H crystal.

a b c (Å): 4.211 4.211 4.211
angles (deg): 90.00 90.00 90.00
Positions (direct):
Ag1 0.000 0.500 0.500
Ag2 0.000 0.000 0.000
Ag3 0.500 0.500 0.000
Ag4 0.500 0.000 0.500
H1 0.500 0.500 0.500

Calculated values
Total energy = -13.9 eV per cell
Calculated volume = 14.93 Å³ per atom
Space-group type = Pm-3m

=====

# 5
DFT (GGA-PBE) results for a relaxed AsIr2Os crystal.

a b c (Å): 3.999 2.833 5.527
angles (deg): 72.29 90.00 90.00
Positions (direct):
Os1 0.500 0.250 0.250
As1 0.500 0.750 0.750
Ir1 0.000 0.891 0.002
Ir2 0.000 0.609 0.498

Calculated values
Total energy = -32.5 eV per cell
E_form = 0.285 eV per atom
Calculated volume = 14.92 Å³ per atom
Space-group type = P2/m

=====

# 6
DFT (GGA-PBE) results for a relaxed AlNi3Sn crystal.

a b c (Å): 4.311 4.311 4.311
angles (deg): 90.00 90.00 90.00
Positions (direct):
Sn1 0.500 0.500 0.500
Ni1 0.500 0.000 0.000
Ni2 0.000 0.500 0.000
Ni3 0.000 0.000 0.500
Al1 0.000 0.000 0.000

Calculated values
Total energy = -23.1 eV per cell
E_form = 0.405 eV per atom
Calculated volume = 16.02 Å³ per atom
Energy relative to the lowest polymorph listed for this composition = 0.0000 eV per atom
Space-group type = Pm-3m